Entry 1:
The following is a DFT calculation (PBE-GGA) of a geometry-optimized VAsRhSe2 structure.

The structure belongs to space group P4/mmm (No. 123); the cell edges are 4.685, 4.685 and 4.721 Å and the angles 90.00°, 90.00° and 90.00°. The inequivalent atoms are V at (0.000, 0.000, 0.000), As at (0.000, 0.000, 0.500), Rh at (0.500, 0.500, 0.500) and Se at (0.000, 0.500, 0.000).

For the size of the total moment, the calculation gives 0.00 μB per formula unit. The polymorph energy (0 for the lowest one) is 0.000 eV/atom. The value obtained for the density of states at the Fermi level is 0.98 states/eV/atom. Its uncorrected formation energy is 0.483 eV per atom.



Entry 2:
The following is a DFT calculation (PBE-GGA) of a geometry-optimized BaScCu2 structure.

The structure belongs to space group Pm (No. 6); the cell edges are 3.830, 4.101 and 6.804 Å and the angles 90.00°, 106.29° and 90.00°. The inequivalent atoms are Ba at (0.000, 0.000, 0.000), Sc at (0.274, 0.500, 0.551), Cu at (0.630, 0.500, 0.261) and Cu at (0.736, 0.000, 0.476).

For the formation enthalpy at 0 K, the calculation gives 54 meV per atom. For the size of the total moment, the calculation gives 0.00 μB per formula unit. The polymorph energy (0 for the lowest one) is 0.095 eV/atom. The value obtained for the density of states at the Fermi level is 1.31 states/eV/atom.



Entry 3:
The following is a DFT calculation (PBE-GGA) of a geometry-optimized NaTl6Pb structure.

The structure belongs to space group Amm2 (No. 38); the cell edges are 4.627, 10.161 and 10.188 Å and the angles 90.00°, 90.00° and 90.00°. The inequivalent atoms are Na at (0.000, 0.000, 0.000), Tl at (0.000, 0.000, 0.496), Tl at (0.000, 0.246, 0.753), Tl at (0.500, 0.000, 0.251), Tl at (0.500, 0.247, 0.002) and Pb at (0.500, 0.000, 0.740).

For the formation enthalpy at 0 K, the calculation gives -33 meV per atom. For the size of the total moment, the calculation gives 0.00 μB per formula unit. The polymorph energy (0 for the lowest one) is 0.000 eV/atom. The value obtained for the density of states at the Fermi level is 0.40 states/eV/atom.



Entry 4:
The following is a DFT calculation (PBE-GGA) of a geometry-optimized PmH4Pd6 structure.

The structure belongs to space group Cm (No. 8); the cell edges are 8.690, 7.170 and 5.461 Å and the angles 90.00°, 126.40° and 90.00°. The inequivalent atoms are Pm at (0.000, 0.000, 0.000), H at (0.073, 0.500, 0.478), H at (0.172, 0.346, 0.096), H at (0.289, 0.000, 0.757), Pd at (0.017, 0.000, 0.513), Pd at (0.210, 0.300, 0.460), Pd at (0.311, 0.194, 0.049) and Pd at (0.499, 0.000, 0.736).

For the electronic total energy, the calculation gives -4.712 eV per atom. For the size of the total moment, the calculation gives 0.00 μB per formula unit. The value obtained for the density of states at the Fermi level is 0.24 states/eV/atom.